[1]
This record from Alexandria via LeMat-Bulk describes an optimized crystal structure of Hf2HgGeO. The functional is PBE-GGA.

Output
- electronic total energy (eV/atom) = -5.078

Lattice parameters (Å, degrees): 5.298 4.087 5.298 90.00 90.00 90.00
Fractional coordinates of all 5 atoms:
Hf  0.000  0.000  0.500
Hf  0.500  0.000  0.000
Ge  0.500  0.500  0.500
Hg  0.000  0.000  0.000
O  0.000  0.500  0.000



[2]
This record from Alexandria via LeMat-Bulk describes an optimized crystal structure of BaSrAc2S4. The functional is PBE-GGA.

Output
- electronic total energy (eV/atom) = -5.575

Lattice parameters (Å, degrees): 4.342 7.584 7.542 70.76 90.00 90.00
Fractional coordinates of all 8 atoms:
S  0.500  0.246  0.743
S  0.000  0.239  0.261
S  0.000  0.761  0.739
S  0.500  0.754  0.257
Sr  0.000  0.500  0.500
Ac  0.000  0.000  0.000
Ac  0.500  0.000  0.500
Ba  0.500  0.500  0.000



[3]
This record from Alexandria via LeMat-Bulk describes an optimized crystal structure of Ac2CuSO8. The functional is PBE-GGA.

Output
- electronic total energy (eV/atom) = -6.038

Lattice parameters (Å, degrees): 5.501 5.501 6.086 90.00 90.00 120.00
Each line ends with the local moment (μB).
Fractional coordinates of all 12 atoms:
O  0.713  0.857  0.162  0.13
O  0.287  0.143  0.838  0.13
O  0.667  0.333  0.545  0.74
O  0.143  0.287  0.162  0.13
O  0.857  0.713  0.838  0.13
O  0.333  0.667  0.455  0.74
O  0.857  0.143  0.838  0.13
O  0.143  0.857  0.162  0.13
Ac  0.667  0.333  0.180  0.05
Ac  0.333  0.667  0.820  0.05
S  0.000  0.000  0.000  -0.01
Cu  0.000  0.000  0.500  0.35



[4]
This record from Alexandria via LeMat-Bulk describes an optimized crystal structure of Tl2CdHgSe. The functional is PBE-GGA.

Output
- electronic total energy (eV/atom) = -1.998

Lattice parameters (Å, degrees): 4.512 4.512 14.330 90.00 90.00 90.00
Fractional coordinates of all 10 atoms:
Hg  0.000  0.500  0.339
Hg  0.500  0.000  0.661
Cd  0.000  0.000  0.500
Cd  0.500  0.500  0.500
Tl  0.500  0.000  0.894
Tl  0.000  0.500  0.106
Tl  0.500  0.000  0.302
Tl  0.000  0.500  0.698
Se  0.000  0.500  0.895
Se  0.500  0.000  0.105



[5]
This record from Alexandria via LeMat-Bulk describes an optimized crystal structure of TcNiC2. The functional is PBE-GGA.

Output
- ΔE_f (meV per atom) = 624

Lattice parameters (Å, degrees): 4.500 4.500 5.481 65.76 65.76 90.00
Fractional coordinates of all 8 atoms:
Ni  0.250  0.750  0.500
Ni  0.500  0.500  0.000
C  0.375  0.380  0.750
C  0.620  0.125  0.250
C  0.875  0.870  0.750
C  0.130  0.625  0.250
Tc  0.000  0.000  0.000
Tc  0.750  0.250  0.500



[6]
This record from Alexandria via LeMat-Bulk describes an optimized crystal structure of CuSeCl3. The functional is PBE-GGA.

Output
- electronic total energy (eV/atom) = -2.932

Lattice parameters (Å, degrees): 3.423 11.489 10.874 132.96 110.07 73.39
Each line ends with the local moment (μB).
Fractional coordinates of all 10 atoms:
Cl  0.576  0.461  0.307  0.19
Cl  0.815  0.151  0.252  0.20
Cl  0.424  0.539  0.693  0.19
Cl  0.562  0.269  0.847  0.00
Cl  0.185  0.849  0.748  0.20
Cl  0.438  0.731  0.153  0.00
Se  0.267  0.892  0.416  0.01
Se  0.733  0.108  0.584  0.01
Cu  0.200  0.308  0.286  0.48
Cu  0.800  0.692  0.714  0.48



[7]
This record from Alexandria via LeMat-Bulk describes an optimized crystal structure of MgSi. The functional is PBE-GGA.

Output
- electronic total energy (eV/atom) = -3.432

Lattice parameters (Å, degrees): 5.095 5.095 11.930 79.71 79.71 51.45
Fractional coordinates of all 12 atoms:
Si  0.575  0.575  0.408
Si  0.425  0.425  0.592
Si  0.824  0.824  0.659
Si  0.909  0.909  0.093
Si  0.091  0.091  0.907
Si  0.176  0.176  0.341
Mg  0.218  0.218  0.099
Mg  0.472  0.472  0.211
Mg  0.528  0.528  0.789
Mg  0.133  0.133  0.582
Mg  0.867  0.867  0.418
Mg  0.782  0.782  0.901



[8]
This record from Alexandria via LeMat-Bulk describes an optimized crystal structure of KCuRhSe3. The functional is PBE-GGA.

Output
- electronic total energy (eV/atom) = -4.395

Lattice parameters (Å, degrees): 3.871 8.338 9.512 112.57 90.00 90.00
Fractional coordinates of all 12 atoms:
Cu  0.250  0.076  0.597
Cu  0.750  0.924  0.403
Se  0.250  0.764  0.442
Se  0.750  0.236  0.558
Se  0.750  0.476  0.132
Se  0.750  0.872  0.137
Se  0.250  0.524  0.868
Se  0.250  0.128  0.863
K  0.750  0.767  0.738
K  0.250  0.233  0.262
Rh  0.750  0.320  0.850
Rh  0.250  0.680  0.150



[9]
This record from Alexandria via LeMat-Bulk describes an optimized crystal structure of CrSiAuS. The functional is PBE-GGA.

Output
- electronic total energy (eV/atom) = -5.854

Lattice parameters (Å, degrees): 3.017 3.017 24.070 90.00 90.00 120.00
Fractional coordinates of all 12 atoms:
Cr  0.000  0.000  0.389
Cr  0.667  0.333  0.722
Cr  0.333  0.667  0.055
S  0.000  0.000  0.780
S  0.333  0.667  0.446
S  0.667  0.333  0.113
Au  0.000  0.000  0.884
Au  0.333  0.667  0.550
Au  0.667  0.333  0.217
Si  0.667  0.333  0.316
Si  0.333  0.667  0.649
Si  0.000  0.000  0.983



[10]
This record from Alexandria via LeMat-Bulk describes an optimized crystal structure of Cs8Au3ClO2. The functional is PBE-GGA.

Output
- electronic total energy (eV/atom) = -2.820

Lattice parameters (Å, degrees): 8.773 8.773 10.749 90.00 90.00 120.00
Each line ends with the local moment (μB).
Fractional coordinates of all 14 atoms:
Cs  0.333  0.667  0.942  0.01
Cs  0.175  0.350  0.299  0.00
Cs  0.667  0.333  0.058  0.01
Cs  0.175  0.825  0.299  0.00
Cs  0.825  0.175  0.701  0.00
Cs  0.650  0.825  0.299  0.00
Cs  0.825  0.650  0.701  0.00
Cs  0.350  0.175  0.701  0.00
O  0.333  0.667  0.179  0.09
O  0.667  0.333  0.821  0.09
Au  0.000  0.000  0.000  0.00
Au  0.333  0.667  0.600  0.00
Au  0.667  0.333  0.400  0.00
Cl  0.000  0.000  0.500  0.00



[11]
This record from Alexandria via LeMat-Bulk describes an optimized crystal structure of SnSbTe4. The functional is PBE-GGA.

Output
- electronic total energy (eV/atom) = -3.526

Lattice parameters (Å, degrees): 4.493 7.054 7.542 120.27 90.00 108.57
Fractional coordinates of all 6 atoms:
Sb  0.500  0.000  0.500
Te  0.654  0.307  0.985
Te  0.346  0.693  0.015
Te  0.844  0.688  0.513
Te  0.156  0.312  0.487
Sn  0.000  0.000  0.000



[12]
This record from Alexandria via LeMat-Bulk describes an optimized crystal structure of Hf2ZrTi. The functional is PBE-GGA.

Output
- ΔE_f (meV per atom) = 159

Lattice parameters (Å, degrees): 4.923 4.923 4.923 60.00 60.00 60.00
Fractional coordinates of all 4 atoms:
Hf  0.750  0.750  0.750
Hf  0.250  0.250  0.250
Ti  0.000  0.000  0.000
Zr  0.500  0.500  0.500



[13]
This record from Alexandria via LeMat-Bulk describes an optimized crystal structure of SrCeGeO5. The functional is PBE-GGA.

Output
- electronic total energy (eV/atom) = -7.330

Lattice parameters (Å, degrees): 6.073 6.073 7.825 102.70 102.70 107.30
Fractional coordinates of all 16 atoms:
O  0.265  0.394  0.590
O  0.394  0.265  0.090
O  0.104  0.673  0.873
O  0.087  0.913  0.250
O  0.606  0.735  0.910
O  0.673  0.104  0.373
O  0.896  0.327  0.127
O  0.735  0.606  0.410
O  0.913  0.087  0.750
O  0.327  0.896  0.627
Ge  0.679  0.321  0.250
Ge  0.321  0.679  0.750
Sr  0.337  0.663  0.250
Sr  0.663  0.337  0.750
Ce  0.000  0.000  0.000
Ce  0.000  0.000  0.500